1.
Here is an optimized crystal structure of La2NpCdO8 from Alexandria. Energies are from PBE.

Structure (CIF):
```
data_La2NpCdO8
_cell_length_a 4.125
_cell_length_b 5.430
_cell_length_c 7.981
_cell_angle_alpha 89.78
_cell_angle_beta 89.91
_cell_angle_gamma 82.97
_space_group_name_H-M_alt 'P -1'
_space_group_IT_number 2
loop_
_space_group_symop_operation_xyz
'x,y,z'
'-x,-y,-z'
loop_
_atom_site_label
_atom_site_fract_x
_atom_site_fract_y
_atom_site_fract_z
La1 0.001 0.001 0.253
Np1 0.500 0.500 0.500
Cd1 0.500 0.500 0.000
O1 0.048 0.747 0.001
O2 0.066 0.723 0.500
O3 0.452 0.266 0.700
O4 0.453 0.269 0.298
```

## Properties
Raw formation energy, eV per atom: -2.514
DOS(E_F), states/eV/atom: 0.612

---

2.
Here is an optimized crystal structure of LaCl3O3 from Alexandria. Energies are from PBE.

Structure (CIF):
```
data_LaCl3O3
_cell_length_a 7.3236
_cell_length_b 7.3236
_cell_length_c 4.0259
_cell_angle_alpha 90.00
_cell_angle_beta 90.00
_cell_angle_gamma 120.00
_space_group_name_H-M_alt 'P -6 2 m'
_space_group_IT_number 189
_space_group_name_Hall 'P -6 -2'
loop_
_atom_site_label
_atom_site_fract_x
_atom_site_fract_y
_atom_site_fract_z
La1 0.0000 0.0000 0.0000
Cl1 0.0000 0.7113 0.5000
O1 0.0000 0.3381 0.0000
```

## Properties
Raw formation energy, eV per atom: -0.302
DOS(E_F), states/eV/atom: 0.031

---

3.
Here is an optimized crystal structure of Tb4PrHo2 from Alexandria. Energies are from PBE.

Structure (CIF):
```
data_Tb4PrHo2
_cell_length_a 6.155
_cell_length_b 6.567
_cell_length_c 11.541
_cell_angle_alpha 90.00
_cell_angle_beta 104.15
_cell_angle_gamma 90.00
_space_group_name_H-M_alt 'P 1 21/m 1'
_space_group_IT_number 11
loop_
_space_group_symop_operation_xyz
'x,y,z'
'-x,-y,-z'
'-x,y+1/2,-z'
'x,-y+1/2,z'
loop_
_atom_site_label
_atom_site_fract_x
_atom_site_fract_y
_atom_site_fract_z
Tb1 0.148 0.008 0.288
Tb2 0.210 0.250 0.573
Tb3 0.350 0.750 0.837
Pr1 0.461 0.750 0.140
Ho1 0.105 0.250 0.995
Ho2 0.351 0.750 0.551
```

## Properties
DOS(E_F), states/eV/atom: 1.669
Energy above the most stable polymorph in this dataset, eV per atom: 0.0913
E_form, eV per atom: 0.124

---

4.
Here is an optimized crystal structure of LiPrSn2 from Alexandria. Energies are from PBE.

Structure (CIF):
```
data_LiPrSn2
_cell_length_a 3.636
_cell_length_b 3.636
_cell_length_c 7.447
_cell_angle_alpha 90.00
_cell_angle_beta 90.00
_cell_angle_gamma 90.00
_space_group_name_H-M_alt 'P 4/m m m'
_space_group_IT_number 123
_space_group_name_Hall '-P 4 2'
loop_
_atom_site_label
_atom_site_fract_x
_atom_site_fract_y
_atom_site_fract_z
Li1 0.000 0.000 0.000
Pr1 0.000 0.000 0.500
Sn1 0.500 0.500 0.205
```

## Properties
DOS(E_F), states/eV/atom: 0.546
Energy above the most stable polymorph in this dataset, eV per atom: 0.0847
E_form, eV per atom: -0.500

---

5.
Here is an optimized crystal structure of Pm6Al2Ag from Alexandria. Energies are from PBE.

Structure (CIF):
```
data_Pm6Al2Ag
_cell_length_a 16.210
_cell_length_b 7.412
_cell_length_c 5.076
_cell_angle_alpha 90.00
_cell_angle_beta 108.11
_cell_angle_gamma 90.00
_space_group_name_H-M_alt 'C 1 2/m 1'
_space_group_IT_number 12
loop_
_space_group_symop_operation_xyz
'x,y,z'
'-x,-y,-z'
'-x,y,-z'
'x,-y,z'
'x+1/2,y+1/2,z'
'-x+1/2,-y+1/2,-z'
'-x+1/2,y+1/2,-z'
'x+1/2,-y+1/2,z'
loop_
_atom_site_label
_atom_site_fract_x
_atom_site_fract_y
_atom_site_fract_z
Pm1 0.000 0.247 0.000
Pm2 0.167 0.251 0.667
Al1 0.167 0.000 0.167
Ag1 0.000 0.500 0.500
```

## Properties
DOS(E_F), states/eV/atom: 1.477
Energy above the most stable polymorph in this dataset, eV per atom: 0.1826
E_form, eV per atom: 0.002

---

6.
Here is an optimized crystal structure of GeI2N from Alexandria. Energies are from PBE.

Structure (CIF):
```
data_GeI2N
_cell_length_a 7.568
_cell_length_b 7.568
_cell_length_c 7.568
_cell_angle_alpha 90.00
_cell_angle_beta 90.00
_cell_angle_gamma 90.00
_space_group_name_H-M_alt 'F m -3 m'
_space_group_IT_number 225
_space_group_name_Hall '-F 4 2 3'
loop_
_atom_site_label
_atom_site_fract_x
_atom_site_fract_y
_atom_site_fract_z
Ge1 0.000 0.000 0.000
I1 0.250 0.250 0.250
N1 0.000 0.000 0.500
```

## Properties
Raw formation energy, eV per atom: 1.259
DOS(E_F), states/eV/atom: 0.072
Energy above the most stable polymorph in this dataset, eV per atom: 0.0219

---

- Which of these has the lowest DOS(E_F)?
  LaCl3O3

---

- Which of these has the highest DOS(E_F)?
  Tb4PrHo2